DFT (PBE with a Hubbard U) results for a relaxed structure of CeTm2MoO8.

VASP energy: -8.03 eV/atom
crystal system: orthorhombic

Lattice parameters (Å, degrees): 4.9706 4.9706 6.8096 90.00 90.00 91.24
With the nearest neighbours (Å) after each atom.
Atoms (fractional coordinates):
1 Ce 0.0000 0.0000 0.0000  6 O 2.13-2.35
2 Tm 0.5000 0.5000 0.2566  6 O 2.21-2.26
3 Tm 0.5000 0.5000 0.7434  6 O 2.21-2.26
4 Mo 0.0000 0.0000 0.5000  6 O 1.95-1.96
5 O 0.1849 0.8151 0.2860  1 Mo 1.96
6 O 0.1849 0.8151 0.7140  1 Mo 1.96
7 O 0.2800 0.2800 0.5000  1 Mo 1.95
8 O 0.3061 0.3061 0.0000  1 Ce 2.13, 2 Tm 2.21
9 O 0.6939 0.6939 0.0000  1 Ce 2.13, 2 Tm 2.21
10 O 0.7200 0.7200 0.5000  1 Mo 1.95
11 O 0.8151 0.1849 0.2860  1 Mo 1.96
12 O 0.8151 0.1849 0.7140  1 Mo 1.96